(1)
A plane-wave DFT calculation with GGA-PBE was carried out for SiSn2As after structural relaxation.

Lattice parameters (Å, degrees): 6.252 6.252 7.626 65.80 65.80 90.00
Positions (direct):
As 0.000 0.000 0.000
As 0.750 0.250 0.500
Si 0.500 0.500 0.000
Si 0.250 0.750 0.500
Sn 0.609 0.125 0.250
Sn 0.141 0.625 0.250
Sn 0.375 0.391 0.750
Sn 0.875 0.859 0.750

Computed properties:
As for the symmetry: I-42d. The raw formation energy comes out at 0.161 eV per atom. For the energy above the most stable polymorph in this dataset, the calculation gives 0.00 eV per formula unit. For the density of states at the Fermi level, the calculation gives 2.2 states/eV/f.u.

(2)
A plane-wave DFT calculation with GGA-PBE was carried out for TaSi2SnAs after structural relaxation.

Lattice parameters (Å, degrees): 4.939 5.327 4.939 90.00 90.00 90.00
Positions (direct):
As 0.500 0.500 0.500
Si 0.000 0.000 0.500
Si 0.500 0.000 0.000
Sn 0.000 0.000 0.000
Ta 0.000 0.500 0.000

Computed properties:
As for the symmetry: P4/mmm. The raw formation energy comes out at 1.764 eV per atom. For the density of states at the Fermi level, the calculation gives 6.4 states/eV/f.u.

(3)
A plane-wave DFT calculation with GGA-PBE was carried out for Th4SiSnAs2 after structural relaxation.

Lattice parameters (Å, degrees): 4.332 7.469 7.542 70.46 90.00 90.00
Positions (direct):
Th 0.000 0.750 0.760
Th 0.000 0.250 0.240
Th 0.500 0.758 0.237
Th 0.500 0.242 0.763
Si 0.500 0.500 0.000
Sn 0.000 0.500 0.500
As 0.000 0.000 0.000
As 0.500 0.000 0.500

Computed properties:
As for the symmetry: P2/m. The raw formation energy comes out at -0.956 eV per atom. For the density of states at the Fermi level, the calculation gives 4.5 states/eV/f.u.

(4)
A plane-wave DFT calculation with GGA-PBE was carried out for YSi2SnAs after structural relaxation.

Lattice parameters (Å, degrees): 4.840 5.403 4.840 90.00 90.00 90.00
Positions (direct):
Y 0.000 0.500 0.000
As 0.000 0.000 0.000
Si 0.000 0.000 0.500
Si 0.500 0.000 0.000
Sn 0.500 0.500 0.500

Computed properties:
As for the symmetry: P4/mmm. The raw formation energy comes out at 0.315 eV per atom. For the energy above the most stable polymorph in this dataset, the calculation gives 0.00 eV per formula unit. For the density of states at the Fermi level, the calculation gives 2.8 states/eV/f.u.

- Which value of raw formation energy does entry 1 give?
  0.161 eV per atom

- Among the records above, which one has the lowest density of states at the Fermi level?
  SiSn2As

- Which of these has the lowest raw formation energy?
  Th4SiSnAs2